No. 1
9
Lattice="5.612 -0.028 -0.016 0.026 5.675 0.006 0.026 2.833 4.917" Properties=species:S:1:pos:R:3 comment="Zr2Al6Pd (PBE, relaxed)" magnetic_moment_mub_per_fu=0.00 volume_a3_per_atom=17.4 e_form_ev_per_atom=-0.521 pbc="T T T"
Al 1.822 4.335 4.042
Al 1.822 5.665 1.745
Zr 0.755 2.833 1.639
Al 3.842 2.814 3.162
Pd 0.000 0.000 0.000
Zr 4.909 5.646 3.268
Al 1.832 6.990 4.045
Al 3.832 1.489 0.862
Al 3.842 4.144 0.865

No. 2
11
Lattice="7.192 -0.021 0.064 -3.573 6.242 0.064 -1.291 -2.219 7.808" Properties=species:S:1:pos:R:3 comment="K2Ho2NpSe6 (PBE, relaxed)" magnetic_moment_mub_per_fu=3.00 volume_a3_per_atom=32.0 e_form_raw_ev_per_atom=-1.574 pbc="T T T"
Ho -0.630 3.045 3.968
Np -0.645 -1.109 3.904
Se 1.767 3.038 5.556
K 5.383 1.032 0.064
Se -1.843 0.927 5.495
K -1.764 5.189 0.064
Se 4.172 3.075 2.442
Se 0.611 5.146 2.442
Se 1.717 -1.144 5.495
Ho 2.958 0.957 3.968
Se 0.561 0.964 2.381